Entry 1:
DFT (PBE-GGA) results for a relaxed structure of Gd2DyAu.

```
Gd2DyAu
1.0
1.754 1.013 11.366
-1.754 1.013 11.366
0.000 -2.025 11.366
Gd Dy Au
2 1 1
Cartesian
0.000 0.000 2.838
0.000 0.000 31.259
0.000 0.000 17.048
0.000 0.000 0.000
```

Calculated values
The value obtained for the energy relative to the elements is 3.1 kcal/mol of atoms. The value obtained for the volume is 121.1 Å³/f.u.

Entry 2:
DFT (PBE-GGA) results for a relaxed structure of GdDyAu.

```
GdDyAu
1.0
4.916 0.000 0.000
-2.458 4.258 0.000
0.000 0.000 3.830
Gd Dy Au
1 1 1
Cartesian
0.000 0.000 0.000
2.458 1.419 1.777
0.000 2.839 2.683
```

Calculated values
The value obtained for the energy relative to the elements is -9.4 kcal/mol of atoms. The value obtained for the volume is 80.2 Å³/f.u.

Entry 3:
DFT (PBE-GGA) results for a relaxed structure of Gd2DyAu.

```
Gd2DyAu
1.0
3.638 0.000 0.000
0.000 3.638 0.000
0.000 0.000 8.556
Gd Dy Au
2 1 1
Cartesian
0.000 0.000 1.794
0.000 0.000 6.763
1.819 1.819 4.278
1.819 1.819 0.000
```

Calculated values
The value obtained for the energy relative to the elements is -8.8 kcal/mol of atoms. The value obtained for the volume is 113.3 Å³/f.u.

Entry 4:
DFT (PBE-GGA) results for a relaxed structure of GdDyInAu.

```
GdDyInAu
1.0
0.000 3.707 3.707
3.707 0.000 3.707
3.707 3.707 0.000
Gd Dy In Au
1 1 1 1
Cartesian
0.000 0.000 0.000
3.707 3.707 3.707
1.854 1.854 1.854
5.561 5.561 5.561
```

Calculated values
The value obtained for the energy relative to the elements is -14.1 kcal/mol of atoms. The value obtained for the volume is 101.9 Å³/f.u.

Entry 5:
DFT (PBE-GGA) results for a relaxed structure of GdDyIrAu.

```
GdDyIrAu
1.0
0.000 3.529 3.529
3.529 0.000 3.529
3.529 3.529 0.000
Gd Dy Ir Au
1 1 1 1
Cartesian
0.000 0.000 0.000
3.529 3.529 3.529
1.764 1.764 1.764
5.293 5.293 5.293
```

Calculated values
The value obtained for the energy relative to the elements is -18.4 kcal/mol of atoms. The value obtained for the volume is 87.9 Å³/f.u.

Entry 6:
DFT (PBE-GGA) results for a relaxed structure of GdDyMnAu.

```
GdDyMnAu
1.0
0.000 3.600 3.600
3.600 0.000 3.600
3.600 3.600 0.000
Gd Dy Mn Au
1 1 1 1
Cartesian
0.000 0.000 0.000
3.600 3.600 3.600
1.800 1.800 1.800
5.400 5.400 5.400
```

Calculated values
The value obtained for the energy relative to the elements is -5.2 kcal/mol of atoms. The value obtained for the volume is 93.3 Å³/f.u.

Entry 7:
DFT (PBE-GGA) results for a relaxed structure of GdDyNiAu.

```
GdDyNiAu
1.0
0.000 3.524 3.524
3.524 0.000 3.524
3.524 3.524 0.000
Gd Dy Ni Au
1 1 1 1
Cartesian
0.000 0.000 0.000
3.524 3.524 3.524
5.286 5.286 5.286
1.762 1.762 1.762
```

Calculated values
The value obtained for the energy relative to the elements is -13.0 kcal/mol of atoms. The value obtained for the volume is 87.5 Å³/f.u.

Entry 8:
DFT (PBE-GGA) results for a relaxed structure of GdDyOsAu.

```
GdDyOsAu
1.0
0.000 3.511 3.511
3.511 0.000 3.511
3.511 3.511 0.000
Gd Dy Os Au
1 1 1 1
Cartesian
0.000 0.000 0.000
3.511 3.511 3.511
5.267 5.267 5.267
1.756 1.756 1.756
```

Calculated values
The value obtained for the energy relative to the elements is -10.3 kcal/mol of atoms. The value obtained for the volume is 86.6 Å³/f.u.

Entry 9:
DFT (PBE-GGA) results for a relaxed structure of GdDyPdAu.

```
GdDyPdAu
1.0
0.000 3.574 3.574
3.574 0.000 3.574
3.574 3.574 0.000
Gd Dy Pd Au
1 1 1 1
Cartesian
0.000 0.000 0.000
3.574 3.574 3.574
5.360 5.360 5.360
1.787 1.787 1.787
```

Calculated values
The value obtained for the energy relative to the elements is -19.4 kcal/mol of atoms. The value obtained for the volume is 91.3 Å³/f.u.

Entry 10:
DFT (PBE-GGA) results for a relaxed structure of GdDyPtAu.

```
GdDyPtAu
1.0
0.000 3.562 3.562
3.562 0.000 3.562
3.562 3.562 0.000
Gd Dy Pt Au
1 1 1 1
Cartesian
0.000 0.000 0.000
3.562 3.562 3.562
5.343 5.343 5.343
1.781 1.781 1.781
```

Calculated values
The value obtained for the energy relative to the elements is -23.3 kcal/mol of atoms. The value obtained for the volume is 90.4 Å³/f.u.

Entry 11:
DFT (PBE-GGA) results for a relaxed structure of GdDyRhAu.

```
GdDyRhAu
1.0
0.000 3.536 3.536
3.536 0.000 3.536
3.536 3.536 0.000
Gd Dy Rh Au
1 1 1 1
Cartesian
0.000 0.000 0.000
3.536 3.536 3.536
1.768 1.768 1.768
5.304 5.304 5.304
```

Calculated values
The value obtained for the energy relative to the elements is -18.5 kcal/mol of atoms. The value obtained for the volume is 88.4 Å³/f.u.

Entry 12:
DFT (PBE-GGA) results for a relaxed structure of GdDyScAu.

```
GdDyScAu
1.0
0.000 3.690 3.690
3.690 0.000 3.690
3.690 3.690 0.000
Gd Dy Sc Au
1 1 1 1
Cartesian
0.000 0.000 0.000
3.690 3.690 3.690
5.535 5.535 5.535
1.845 1.845 1.845
```

Calculated values
The value obtained for the energy relative to the elements is -4.6 kcal/mol of atoms. The value obtained for the volume is 100.5 Å³/f.u.

Entry 13:
DFT (PBE-GGA) results for a relaxed structure of GdDySiAu.

```
GdDySiAu
1.0
0.000 3.581 3.581
3.581 0.000 3.581
3.581 3.581 0.000
Gd Dy Si Au
1 1 1 1
Cartesian
0.000 0.000 0.000
3.581 3.581 3.581
1.790 1.790 1.790
5.371 5.371 5.371
```

Calculated values
The value obtained for the volume is 91.8 Å³/f.u. The value obtained for the total energy is -7.522 eV/atom.

Entry 14:
DFT (PBE-GGA) results for a relaxed structure of GdDySnAu.

```
GdDySnAu
1.0
0.000 3.703 3.703
3.703 0.000 3.703
3.703 3.703 0.000
Gd Dy Sn Au
1 1 1 1
Cartesian
0.000 0.000 0.000
3.703 3.703 3.703
1.852 1.852 1.852
5.555 5.555 5.555
```

Calculated values
The value obtained for the energy relative to the elements is -17.0 kcal/mol of atoms. The value obtained for the volume is 101.6 Å³/f.u.

Entry 15:
DFT (PBE-GGA) results for a relaxed structure of DyGeAu4.

```
DyGeAu4
1.0
0.000 3.947 3.947
3.947 0.000 3.947
3.947 3.947 0.000
Dy Ge Au
1 1 4
Cartesian
0.000 0.000 0.000
5.920 5.920 5.920
2.960 2.960 2.960
4.933 4.933 2.960
4.933 2.960 4.933
2.960 4.933 4.933
```

Calculated values
The value obtained for the energy relative to the elements is -7.1 kcal/mol of atoms. The value obtained for the volume is 122.9 Å³/f.u.

Entry 16:
DFT (PBE-GGA) results for a relaxed structure of DyGeAu.

```
DyGeAu
1.0
4.446 0.000 0.000
-2.223 3.851 0.000
0.000 0.000 3.711
Dy Ge Au
1 1 1
Cartesian
0.000 0.000 0.000
2.223 1.284 1.952
0.000 2.567 1.804
```

Calculated values
The value obtained for the energy relative to the elements is -18.2 kcal/mol of atoms. The value obtained for the volume is 63.5 Å³/f.u.

Entry 17:
DFT (PBE-GGA) results for a relaxed structure of Dy3Ge3Au.

```
Dy3Ge3Au
1.0
5.381 -2.172 0.000
5.381 2.172 0.000
-4.734 0.000 13.164
Dy Ge Au
6 6 2
Cartesian
-1.492 0.000 4.956
-3.259 0.000 12.179
1.502 0.000 2.932
4.526 0.000 10.232
9.286 0.000 0.985
7.520 0.000 8.208
1.861 0.000 5.979
-0.288 0.000 12.181
1.523 0.000 10.202
4.504 0.000 2.961
6.316 0.000 0.982
4.167 0.000 7.184
-0.070 0.000 8.052
6.098 0.000 5.112
```

Calculated values
The value obtained for the energy relative to the elements is -19.1 kcal/mol of atoms. The value obtained for the volume is 153.8 Å³/f.u.

Entry 18:
DFT (PBE-GGA) results for a relaxed structure of Dy4GeAu3.

```
Dy4GeAu3
1.0
3.893 0.000 0.000
0.000 4.501 0.000
0.000 0.000 10.972
Dy Ge Au
4 1 3
Cartesian
0.000 0.000 0.000
0.000 2.250 3.031
1.946 0.000 5.471
1.946 2.250 8.532
1.946 0.000 2.482
0.000 0.000 7.982
0.000 2.250 6.024
1.946 2.250 0.576
```

Calculated values
The value obtained for the energy relative to the elements is -19.7 kcal/mol of atoms. The value obtained for the volume is 192.2 Å³/f.u.